Material: Li3HoSc2S6
Method: DFT, PBE
State: relaxed

Computed properties:
Size of the total moment in Bohr magnetons per cell: 0.0
E_form (uncorrected) in eV/atom: -1.794
Final energy in eV per atom: -5.773
Space-group type: C2/m, No. 12

a b c (Å): 6.520 6.520 6.490
angles (deg): 99.63 99.63 120.02
Fractional coordinates of all 12 atoms:
S (0.919, 0.574, 0.757)
S (0.081, 0.426, 0.243)
S (0.264, 0.264, 0.755)
S (0.574, 0.919, 0.757)
S (0.426, 0.081, 0.243)
S (0.736, 0.736, 0.245)
Sc (0.667, 0.333, 0.000)
Sc (0.333, 0.667, 0.000)
Li (0.832, 0.168, 0.500)
Li (0.168, 0.832, 0.500)
Li (0.500, 0.500, 0.500)
Ho (0.000, 0.000, 0.000)

=====

Material: Li2HoSc3S6
Method: DFT, PBE
State: relaxed

Computed properties:
Size of the total moment in Bohr magnetons per cell: 0.0
E_form (uncorrected) in eV/atom: -1.850
Final energy in eV per atom: -6.197
Space-group type: C2/m, No. 12

a b c (Å): 6.422 6.422 6.544
angles (deg): 99.41 99.41 120.01
Fractional coordinates of all 12 atoms:
S (0.576, 0.915, 0.744)
S (0.747, 0.747, 0.257)
S (0.085, 0.424, 0.256)
S (0.915, 0.576, 0.744)
S (0.253, 0.253, 0.743)
S (0.424, 0.085, 0.256)
Sc (0.500, 0.500, 0.500)
Sc (0.167, 0.833, 0.500)
Sc (0.833, 0.167, 0.500)
Li (0.667, 0.333, 0.000)
Li (0.333, 0.667, 0.000)
Ho (0.000, 0.000, 0.000)

=====

Material: LiHoSc2S4
Method: DFT, PBE
State: relaxed

Computed properties:
Size of the total moment in Bohr magnetons per cell: 0.0
E_form (uncorrected) in eV/atom: -1.874
Final energy in eV per atom: -6.332
Space-group type: P2/m, No. 10

a b c (Å): 3.738 6.454 6.550
angles (deg): 109.13 90.00 90.00
Fractional coordinates of all 8 atoms:
Sc (0.500, 0.000, 0.500)
Sc (0.000, 0.500, 0.500)
S (0.500, 0.740, 0.742)
S (0.500, 0.260, 0.258)
S (0.000, 0.252, 0.743)
S (0.000, 0.748, 0.257)
Li (0.500, 0.500, 0.000)
Ho (0.000, 0.000, 0.000)